VASP calculation (PBE) on an optimized crystal structure of ZnNiMo2.

Unit cell a=4.3375 b=4.3375 c=4.3375 alpha=60.00 beta=60.00 gamma=60.00
Closest atoms and distances in Å follow each position.
Fractional coordinates of all 4 atoms:
Zn (0.0000, 0.0000, 0.0000)  4 Mo 2.66, 4 Ni 2.66
Ni (0.7500, 0.7500, 0.7500)  4 Mo 2.66, 4 Zn 2.66
Mo (0.2500, 0.2500, 0.2500)  4 Mo 2.66, 4 Zn 2.66
Mo (0.5000, 0.5000, 0.5000)  4 Mo 2.66, 4 Ni 2.66

Crystal system ... cubic
Energy of formation ... 0.9 eV/f.u.
VASP energy ... -6.96 eV per atom